## Os2I2Br (PBE)

Data for crystalline Os2I2Br at its relaxed geometry.

Structure (POSCAR):
```
Os2I2Br
1.0
-2.043 2.043 7.654
2.043 -2.043 7.654
2.043 2.043 -7.654
Os I Br
2 2 1
direct
0.250 0.750 0.500
0.750 0.250 0.500
0.144 0.144 0.000
0.856 0.856 0.000
0.500 0.500 0.000
```

## Properties
As for the density of states at the Fermi level: 2.29 states/eV per cell. The total energy comes out at -4.723 eV/atom. The calculation puts the energy relative to the lowest polymorph listed for this composition at 0.00 kJ/mol of atoms. As for the space-group type: No. 139.

## Cs3Pm3BiSe8 (PBE)

Data for crystalline Cs3Pm3BiSe8 at its relaxed geometry.

Structure (POSCAR):
```
Cs3Pm3BiSe8
1.0
7.461 -4.302 0.000
7.461 4.302 0.000
-4.984 0.000 8.586
Cs Pm Bi Se
3 3 1 8
direct
0.000 0.000 0.000
0.000 0.500 0.000
0.500 0.000 0.000
0.000 0.500 0.500
0.500 0.000 0.500
0.500 0.500 0.500
0.000 0.000 0.500
0.228 0.228 0.687
0.228 0.731 0.687
0.269 0.772 0.313
0.270 0.270 0.311
0.730 0.730 0.689
0.731 0.228 0.687
0.772 0.269 0.313
0.772 0.772 0.313
```

## Properties
As for the density of states at the Fermi level: 10.74 states/eV per cell. The total energy comes out at -4.653 eV/atom. As for the space-group type: No. 12.

## Dy2CoRe3 (PBE)

Data for crystalline Dy2CoRe3 at its relaxed geometry.

Structure (POSCAR):
```
Dy2CoRe3
1.0
2.628 1.517 4.528
-2.628 1.517 4.528
0.000 -3.035 4.528
Dy Co Re
2 1 3
direct
0.126 0.126 0.126
0.874 0.874 0.874
0.500 0.500 0.500
0.000 0.500 0.500
0.500 0.000 0.500
0.500 0.500 0.000
```

## Properties
The calculation puts the calculated formation energy at -173 meV per atom. As for the density of states at the Fermi level: 5.76 states/eV per cell. The total energy comes out at -9.116 eV/atom. As for the space-group type: No. 166.

## ZrReOs (PBE)

Data for crystalline ZrReOs at its relaxed geometry.

Structure (POSCAR):
```
ZrReOs
1.0
0.000 3.091 3.091
3.091 0.000 3.091
3.091 3.091 0.000
Zr Re Os
1 1 1
direct
0.000 0.000 0.000
0.500 0.500 0.500
0.250 0.250 0.250
```

## Properties
The calculation puts the calculated formation energy at 331 meV per atom. As for the density of states at the Fermi level: 3.70 states/eV per cell. The total energy comes out at -10.411 eV/atom. The calculation puts the energy relative to the lowest polymorph listed for this composition at 48.78 kJ/mol of atoms. As for the space-group type: No. 216.